Computed, not measured: a relaxed YCoPO crystal at the GGA+U level of DFT.

Geometry as extended XYZ:
```
8
Lattice="-0.9044 -3.2538 -1.8634 3.7491 -0.7571 -0.4978 0.1092 -3.8851 6.7311" Properties=species:S:1:pos:R:3 pbc="T T T"
Co 0.0546 -1.9426 3.3656
Co 1.4769 -3.9480 2.1850
O 0.0000 0.0000 0.0000
O 1.4224 -2.0054 -1.1806
P -0.4123 -3.0480 1.5305
P 1.9438 -2.8425 4.0200
Y 1.8905 -0.9452 0.7329
Y -0.3590 -4.9453 4.8176
```

Computed properties:
raw total energy	-7.24	eV/atom
volume	14.45	A^3/atom
mass density	5.6	Mg/m³